Entry 1:
VBiAs2Br | GGA-PBE | optimized geometry

Lattice parameters (Å, degrees): 4.861 4.861 5.140 90.00 90.00 90.00
Site moments in Bohr magnetons follow the coordinates.
Element x y z (fractional)
As (0.000, 0.500, 0.000)  -0.15
As (0.500, 0.000, 0.000)  -0.15
Bi (0.500, 0.500, 0.500)  0.39
Br (0.000, 0.000, 0.500)  -0.01
V (0.000, 0.000, 0.000)  1.49

Values from the calculation:
Size of the total moment ... 1.67 μB per cell
Offset from the most stable computed form ... 0 meV/atom
Raw total energy ... -4.602 eV/atom
Formation energy without anion corrections ... 0.19 eV/atom



Entry 2:
ZnBiAsBr2 | GGA-PBE | optimized geometry

Lattice parameters (Å, degrees): 5.771 5.771 5.829 90.00 90.00 90.00
Site moments in Bohr magnetons follow the coordinates.
Element x y z (fractional)
Zn (0.500, 0.500, 0.500)  0.07
As (0.000, 0.000, 0.500)  0.75
Bi (0.000, 0.000, 0.000)  -0.05
Br (0.000, 0.500, 0.000)  0.04
Br (0.500, 0.000, 0.000)  0.04

Values from the calculation:
Size of the total moment ... 1.87 μB per cell
Offset from the most stable computed form ... 131 meV/atom
Raw total energy ... -2.386 eV/atom
Formation energy without anion corrections ... 0.24 eV/atom



Entry 3:
ZnBiAs2Br | GGA-PBE | optimized geometry

Lattice parameters (Å, degrees): 4.961 4.961 5.047 90.00 90.00 90.00
Element x y z (fractional)
Zn (0.000, 0.000, 0.000)
As (0.000, 0.500, 0.000)
As (0.500, 0.000, 0.000)
Bi (0.500, 0.500, 0.500)
Br (0.000, 0.000, 0.500)

Values from the calculation:
Size of the total moment ... 0.00 μB per cell
Offset from the most stable computed form ... 0 meV/atom
Raw total energy ... -2.846 eV/atom
Formation energy without anion corrections ... 0.38 eV/atom



Entry 4:
ZnBiAs2Br | GGA-PBE | optimized geometry

Lattice parameters (Å, degrees): 5.591 5.591 5.805 90.00 90.00 90.00
Site moments in Bohr magnetons follow the coordinates.
Element x y z (fractional)
Zn (0.500, 0.500, 0.500)  0.07
As (0.000, 0.500, 0.000)  0.45
As (0.500, 0.000, 0.000)  0.45
Bi (0.000, 0.000, 0.000)  -0.04
Br (0.000, 0.000, 0.500)  0.07

Values from the calculation:
Size of the total moment ... 2.16 μB per cell
Offset from the most stable computed form ... 368 meV/atom
Raw total energy ... -2.478 eV/atom
Formation energy without anion corrections ... 0.75 eV/atom



Entry 5:
ZnBiAsBr2 | GGA-PBE | optimized geometry

Lattice parameters (Å, degrees): 4.988 4.988 5.295 90.00 90.00 90.00
Element x y z (fractional)
Zn (0.000, 0.000, 0.000)
As (0.000, 0.000, 0.500)
Bi (0.500, 0.500, 0.500)
Br (0.000, 0.500, 0.000)
Br (0.500, 0.000, 0.000)

Values from the calculation:
Size of the total moment ... 0.00 μB per cell
Offset from the most stable computed form ... 0 meV/atom
Raw total energy ... -2.516 eV/atom
Formation energy without anion corrections ... 0.11 eV/atom



Entry 6:
ZrBiAsBr2 | GGA-PBE | optimized geometry

Lattice parameters (Å, degrees): 5.587 5.587 5.592 90.00 90.00 90.00
Site moments in Bohr magnetons follow the coordinates.
Element x y z (fractional)
As (0.000, 0.000, 0.500)  -0.09
Br (0.000, 0.500, 0.000)  0.00
Br (0.500, 0.000, 0.000)  0.00
Bi (0.000, 0.000, 0.000)  0.04
Zr (0.500, 0.500, 0.500)  1.53

Values from the calculation:
Size of the total moment ... 2.21 μB per cell
Offset from the most stable computed form ... 852 meV/atom
Raw total energy ... -3.452 eV/atom
Formation energy without anion corrections ... 0.63 eV/atom



Entry 7:
ZrBiAs2Br | GGA-PBE | optimized geometry

Lattice parameters (Å, degrees): 5.321 5.321 5.121 90.00 90.00 90.00
Element x y z (fractional)
As (0.000, 0.500, 0.000)
As (0.500, 0.000, 0.000)
Br (0.000, 0.000, 0.500)
Bi (0.500, 0.500, 0.500)
Zr (0.000, 0.000, 0.000)

Values from the calculation:
Size of the total moment ... 0.00 μB per cell
Offset from the most stable computed form ... 0 meV/atom
Raw total energy ... -4.702 eV/atom
Formation energy without anion corrections ... -0.02 eV/atom



Entry 8:
ZrBiAs2Br | GGA-PBE | optimized geometry

Lattice parameters (Å, degrees): 5.408 5.408 5.414 90.00 90.00 90.00
Site moments in Bohr magnetons follow the coordinates.
Element x y z (fractional)
As (0.000, 0.500, 0.000)  -0.13
As (0.500, 0.000, 0.000)  -0.13
Br (0.000, 0.000, 0.500)  -0.02
Bi (0.000, 0.000, 0.000)  0.01
Zr (0.500, 0.500, 0.500)  1.13

Values from the calculation:
Size of the total moment ... 1.12 μB per cell
Offset from the most stable computed form ... 882 meV/atom
Raw total energy ... -3.819 eV/atom
Formation energy without anion corrections ... 0.86 eV/atom



Entry 9:
ZrBiAsBr2 | GGA-PBE | optimized geometry

Lattice parameters (Å, degrees): 5.206 5.206 5.567 90.00 90.00 90.00
Site moments in Bohr magnetons follow the coordinates.
Element x y z (fractional)
As (0.000, 0.000, 0.500)  -0.06
Br (0.000, 0.500, 0.000)  0.03
Br (0.500, 0.000, 0.000)  0.03
Bi (0.500, 0.500, 0.500)  0.86
Zr (0.000, 0.000, 0.000)  0.09

Values from the calculation:
Size of the total moment ... 1.39 μB per cell
Offset from the most stable computed form ... 0 meV/atom
Raw total energy ... -4.304 eV/atom
Formation energy without anion corrections ... -0.22 eV/atom



Entry 10:
BiAs2C | GGA-PBE | optimized geometry

Lattice parameters (Å, degrees): 6.350 6.350 6.076 58.50 58.50 90.00
Element x y z (fractional)
C (0.500, 0.500, 0.000)
C (0.250, 0.750, 0.500)
As (0.512, 0.125, 0.250)
As (0.238, 0.625, 0.250)
As (0.375, 0.488, 0.750)
As (0.875, 0.762, 0.750)
Bi (0.000, 0.000, 0.000)
Bi (0.750, 0.250, 0.500)

Values from the calculation:
Size of the total moment ... 0.00 μB per cell
Offset from the most stable computed form ... 0 meV/atom
Raw total energy ... -4.804 eV/atom
ΔE_f ... 0.797 eV/atom



Entry 11:
BiAs2C | GGA-PBE | optimized geometry

Lattice parameters (Å, degrees): 4.828 4.828 4.828 60.00 60.00 60.00
Element x y z (fractional)
C (0.000, 0.000, 0.000)
As (0.250, 0.250, 0.250)
As (0.750, 0.750, 0.750)
Bi (0.500, 0.500, 0.500)

Values from the calculation:
Size of the total moment ... 0.00 μB per cell
Offset from the most stable computed form ... 857 meV/atom
Raw total energy ... -3.947 eV/atom
ΔE_f ... 1.654 eV/atom



Entry 12:
Bi3AsC | GGA-PBE | optimized geometry

Lattice parameters (Å, degrees): 4.998 4.998 4.998 90.00 90.00 90.00
Element x y z (fractional)
C (0.000, 0.000, 0.000)
As (0.500, 0.500, 0.500)
Bi (0.000, 0.500, 0.000)
Bi (0.000, 0.000, 0.500)
Bi (0.500, 0.000, 0.000)

Values from the calculation:
Size of the total moment ... 0.00 μB per cell
Offset from the most stable computed form ... 0 meV/atom
Raw total energy ... -4.102 eV/atom
ΔE_f ... 1.001 eV/atom



Entry 13:
BiAsC2 | GGA-PBE | optimized geometry

Lattice parameters (Å, degrees): 4.364 4.364 4.364 60.00 60.00 60.00
Element x y z (fractional)
C (0.250, 0.250, 0.250)
C (0.750, 0.750, 0.750)
As (0.000, 0.000, 0.000)
Bi (0.500, 0.500, 0.500)

Values from the calculation:
Size of the total moment ... 0.00 μB per cell
Offset from the most stable computed form ... 943 meV/atom
Raw total energy ... -4.431 eV/atom
ΔE_f ... 2.313 eV/atom



Entry 14:
BiAsC2 | GGA-PBE | optimized geometry

Lattice parameters (Å, degrees): 5.598 5.598 5.682 60.49 60.49 90.00
Element x y z (fractional)
C (0.539, 0.125, 0.250)
C (0.211, 0.625, 0.250)
C (0.375, 0.461, 0.750)
C (0.875, 0.789, 0.750)
As (0.500, 0.500, 0.000)
As (0.250, 0.750, 0.500)
Bi (0.000, 0.000, 0.000)
Bi (0.750, 0.250, 0.500)

Values from the calculation:
Size of the total moment ... 0.00 μB per cell
Offset from the most stable computed form ... 0 meV/atom
Raw total energy ... -5.374 eV/atom
ΔE_f ... 1.371 eV/atom



Entry 15:
Bi2AsC | GGA-PBE | optimized geometry

Lattice parameters (Å, degrees): 4.973 4.973 4.973 60.00 60.00 60.00
Element x y z (fractional)
C (0.000, 0.000, 0.000)
As (0.500, 0.500, 0.500)
Bi (0.250, 0.250, 0.250)
Bi (0.750, 0.750, 0.750)

Values from the calculation:
Size of the total moment ... 0.00 μB per cell
Offset from the most stable computed form ... 412 meV/atom
Raw total energy ... -4.029 eV/atom
ΔE_f ... 1.380 eV/atom



Entry 16:
Bi2AsC | GGA-PBE | optimized geometry

Lattice parameters (Å, degrees): 6.640 6.640 6.679 60.19 60.19 90.00
Element x y z (fractional)
C (0.500, 0.500, 0.000)
C (0.250, 0.750, 0.500)
As (0.000, 0.000, 0.000)
As (0.750, 0.250, 0.500)
Bi (0.563, 0.125, 0.250)
Bi (0.187, 0.625, 0.250)
Bi (0.375, 0.437, 0.750)
Bi (0.875, 0.813, 0.750)

Values from the calculation:
Size of the total moment ... 0.00 μB per cell
Offset from the most stable computed form ... 0 meV/atom
Raw total energy ... -4.441 eV/atom
ΔE_f ... 0.968 eV/atom



Entry 17:
Ce5Bi2AsC | GGA-PBE | optimized geometry

Lattice parameters (Å, degrees): 4.741 4.741 11.471 90.00 90.00 90.00
Site moments in Bohr magnetons follow the coordinates.
Element x y z (fractional)
Ce (0.000, 0.500, 0.500)  0.31
Ce (0.500, 0.000, 0.500)  0.31
Ce (0.000, 0.000, 0.743)  0.84
Ce (0.000, 0.000, 0.257)  0.84
Ce (0.500, 0.500, 0.000)  1.05
Bi (0.500, 0.500, 0.287)  -0.03
Bi (0.500, 0.500, 0.713)  -0.03
As (0.000, 0.000, 0.000)  -0.04
C (0.000, 0.000, 0.500)  -0.04

Values from the calculation:
Size of the total moment ... 4.05 μB per cell
Raw total energy ... -6.351 eV/atom
ΔE_f ... -0.651 eV/atom



Entry 18:
BiAs2CCl | GGA-PBE | optimized geometry

Lattice parameters (Å, degrees): 4.569 4.537 4.569 90.00 90.00 90.00
Element x y z (fractional)
C (0.000, 0.000, 0.000)
As (0.000, 0.000, 0.500)
As (0.500, 0.000, 0.000)
Bi (0.500, 0.500, 0.500)
Cl (0.000, 0.500, 0.000)

Values from the calculation:
Size of the total moment ... 0.00 μB per cell
Raw total energy ... -3.917 eV/atom
Formation energy without anion corrections ... 0.93 eV/atom



Entry 19:
Si4Bi2AsH38C14Cl2 | GGA-PBE | optimized geometry

Lattice parameters (Å, degrees): 9.763 12.948 14.057 97.67 102.43 91.79
Element x y z (fractional)
Si (0.011, 0.730, 0.124)
Si (0.989, 0.270, 0.876)
Si (0.608, 0.113, 0.373)
Si (0.392, 0.887, 0.627)
Si (0.707, 0.672, 0.168)
Si (0.293, 0.328, 0.832)
Si (0.868, 0.278, 0.376)
Si (0.132, 0.722, 0.624)
Bi (0.766, 0.886, 0.030)
Bi (0.234, 0.114, 0.970)
Bi (0.682, 0.169, 0.143)
Bi (0.318, 0.831, 0.857)
As (0.533, 0.976, 0.085)
As (0.467, 0.024, 0.915)
H (0.858, 0.833, 0.214)
H (0.142, 0.167, 0.786)
H (0.804, 0.510, 0.094)
H (0.196, 0.490, 0.906)
H (0.625, 0.489, 0.099)
H (0.375, 0.511, 0.901)
H (0.668, 0.557, 0.006)
H (0.332, 0.443, 0.994)
H (0.766, 0.720, 0.352)
H (0.234, 0.280, 0.648)
H (0.691, 0.590, 0.317)
H (0.309, 0.410, 0.683)
H (0.871, 0.618, 0.317)
H (0.129, 0.382, 0.683)
H (0.473, 0.725, 0.079)
H (0.527, 0.275, 0.921)
H (0.457, 0.650, 0.174)
H (0.543, 0.350, 0.826)
H (0.513, 0.784, 0.204)
H (0.487, 0.216, 0.796)
H (0.031, 0.566, 0.205)
H (0.969, 0.434, 0.795)
H (0.197, 0.621, 0.199)
H (0.803, 0.379, 0.801)
H (0.109, 0.677, 0.290)
H (0.891, 0.323, 0.710)
H (0.155, 0.892, 0.215)
H (0.845, 0.108, 0.785)
H (0.244, 0.818, 0.133)
H (0.756, 0.182, 0.867)
H (0.109, 0.899, 0.087)
H (0.891, 0.101, 0.913)
H (0.093, 0.638, 0.982)
H (0.907, 0.362, 0.018)
H (0.918, 0.591, 0.978)
H (0.082, 0.409, 0.022)
H (0.950, 0.713, 0.939)
H (0.050, 0.287, 0.061)
H (0.618, 0.274, 0.303)
H (0.382, 0.726, 0.697)
H (0.013, 0.123, 0.377)
H (0.987, 0.877, 0.623)
H (0.097, 0.228, 0.468)
H (0.903, 0.772, 0.532)
H (0.958, 0.149, 0.490)
H (0.042, 0.851, 0.510)
H (0.786, 0.354, 0.528)
H (0.214, 0.646, 0.472)
H (0.940, 0.423, 0.515)
H (0.060, 0.577, 0.485)
H (0.774, 0.444, 0.441)
H (0.226, 0.556, 0.559)
H (0.883, 0.398, 0.251)
H (0.117, 0.602, 0.749)
H (0.047, 0.392, 0.332)
H (0.953, 0.608, 0.668)
H (0.988, 0.289, 0.235)
H (0.012, 0.711, 0.765)
H (0.804, 0.991, 0.398)
H (0.196, 0.009, 0.602)
H (0.640, 0.927, 0.397)
H (0.360, 0.073, 0.603)
H (0.683, 0.950, 0.285)
H (0.317, 0.050, 0.715)
H (0.582, 0.237, 0.521)
H (0.418, 0.763, 0.479)
H (0.577, 0.105, 0.543)
H (0.423, 0.895, 0.457)
H (0.740, 0.172, 0.549)
H (0.260, 0.828, 0.451)
H (0.388, 0.058, 0.242)
H (0.612, 0.942, 0.758)
H (0.363, 0.044, 0.361)
H (0.637, 0.956, 0.639)
H (0.364, 0.170, 0.324)
H (0.636, 0.830, 0.676)
C (0.835, 0.775, 0.147)
C (0.165, 0.225, 0.853)
C (0.702, 0.545, 0.084)
C (0.298, 0.455, 0.916)
C (0.765, 0.648, 0.301)
C (0.235, 0.352, 0.699)
C (0.520, 0.713, 0.155)
C (0.480, 0.287, 0.845)
C (0.093, 0.640, 0.213)
C (0.907, 0.360, 0.787)
C (0.141, 0.846, 0.141)
C (0.859, 0.154, 0.859)
C (0.990, 0.662, 0.994)
C (0.010, 0.338, 0.006)
C (0.691, 0.211, 0.310)
C (0.309, 0.789, 0.690)
C (0.995, 0.185, 0.433)
C (0.005, 0.815, 0.567)
C (0.838, 0.384, 0.474)
C (0.162, 0.616, 0.526)
C (0.953, 0.345, 0.290)
C (0.047, 0.655, 0.710)
C (0.692, 0.983, 0.362)
C (0.308, 0.017, 0.638)
C (0.630, 0.162, 0.509)
C (0.370, 0.838, 0.491)
C (0.413, 0.094, 0.320)
C (0.587, 0.906, 0.680)
Cl (0.583, 0.741, 0.898)
Cl (0.417, 0.259, 0.102)
Cl (0.921, 0.059, 0.163)
Cl (0.079, 0.941, 0.837)

Values from the calculation:
Size of the total moment ... 0.00 μB per cell
Raw total energy ... -5.065 eV/atom



Entry 20:
Dy5Bi2AsC | GGA-PBE | optimized geometry

Lattice parameters (Å, degrees): 4.666 4.666 11.053 90.00 90.00 90.00
Element x y z (fractional)
Dy (0.000, 0.500, 0.500)
Dy (0.500, 0.000, 0.500)
Dy (0.000, 0.000, 0.744)
Dy (0.000, 0.000, 0.256)
Dy (0.500, 0.500, 0.000)
Bi (0.500, 0.500, 0.286)
Bi (0.500, 0.500, 0.714)
As (0.000, 0.000, 0.000)
C (0.000, 0.000, 0.500)

Values from the calculation:
Size of the total moment ... 0.00 μB per cell
Raw total energy ... -5.692 eV/atom
ΔE_f ... -0.731 eV/atom



Entry 21:
Er5Bi2AsC | GGA-PBE | optimized geometry

Lattice parameters (Å, degrees): 4.626 4.626 10.928 90.00 90.00 90.00
Element x y z (fractional)
Er (0.000, 0.500, 0.500)
Er (0.500, 0.000, 0.500)
Er (0.000, 0.000, 0.742)
Er (0.000, 0.000, 0.258)
Er (0.500, 0.500, 0.000)
Bi (0.500, 0.500, 0.286)
Bi (0.500, 0.500, 0.714)
As (0.000, 0.000, 0.000)
C (0.000, 0.000, 0.500)

Values from the calculation:
Size of the total moment ... 0.00 μB per cell
Raw total energy ... -5.662 eV/atom
ΔE_f ... -0.723 eV/atom